No. 1
Ho2Al2PdPt3: optimized geometry, PBE-GGA.

Results
* ρ: 11.9 Mg/m³
* E: -49.17 eV/cell
* total moment: 0.000 μB per atom
* crystal system: trigonal

a = 4.3408 Å, b = 4.3408 Å, c = 9.1801 Å
α = 90.00°, β = 90.00°, γ = 120.00°
Closest atoms and distances in Å follow each position.
Positions (direct):
Ho1 0.0000 0.0000 0.0000  5 Pt 2.91-3.05, 3 Pd 2.95
Ho2 0.3333 0.6667 0.5040  7 Pt 2.93-3.07, 1 Pd 3.08
Al1 0.6667 0.3333 0.2586  3 Pt 2.60, 3 Pd 2.64
Al2 0.6667 0.3333 0.7539  6 Pt 2.62
Pd1 0.3333 0.6667 0.1689  3 Al 2.64, 3 Pt 2.92, 3 Ho 2.95
Pt1 0.0000 0.0000 0.3322  3 Al 2.60
Pt2 0.0000 0.0000 0.6693  3 Al 2.62, 3 Ho 2.93
Pt3 0.3333 0.6667 0.8389  3 Al 2.62, 3 Ho 2.91

=====

No. 2
Ho2Al2Pd3Pt: optimized geometry, PBE-GGA.

Results
* ρ: 10.0 Mg/m³
* E: -46.43 eV/cell
* total moment: 0.002 μB per atom
* crystal system: trigonal

a = 4.3488 Å, b = 4.3488 Å, c = 9.1427 Å
α = 90.00°, β = 90.00°, γ = 120.00°
Closest atoms and distances in Å follow each position.
Positions (direct):
Ho1 0.0000 0.0000 0.0000  7 Pd 2.92-3.02, 1 Pt 3.00
Ho2 0.3333 0.6667 0.4958  3 Pt 2.94, 5 Pd 2.97-3.05
Al1 0.6667 0.3333 0.2557  3 Pt 2.60, 3 Pd 2.65
Al2 0.6667 0.3333 0.7501  6 Pd 2.61-2.62
Pd1 0.0000 0.0000 0.6697  3 Al 2.62, 3 Pd 2.90
Pd2 0.3333 0.6667 0.1631  3 Al 2.65, 3 Ho 2.92, 3 Pt 2.93
Pd3 0.3333 0.6667 0.8292  3 Al 2.61, 3 Pd 2.90
Pt1 0.0000 0.0000 0.3283  3 Al 2.60

=====

No. 3
HoScAl4Pd2: optimized geometry, PBE-GGA.

Results
* ρ: 6.1 Mg/m³
* E: -42.50 eV/cell
* total moment: 0.005 μB per atom
* crystal system: orthorhombic

a = 6.8404 Å, b = 5.4116 Å, c = 5.4116 Å
α = 46.35°, β = 90.00°, γ = 90.00°
Closest atoms and distances in Å follow each position.
Positions (direct):
Ho1 0.0000 0.0000 0.0000  3 Pd 2.82-3.03, 4 Al 3.06
Sc1 0.5000 0.1476 0.1476  3 Pd 2.80-3.04, 4 Al 3.01
Al1 0.2032 0.7100 0.7100  3 Pd 2.56-2.65, 2 Al 2.78-2.83
Al2 0.3058 0.4341 0.4341  3 Pd 2.57-2.60, 2 Al 2.66-2.83
Al3 0.6942 0.4341 0.4341  3 Pd 2.57-2.60, 2 Al 2.66-2.83
Al4 0.7968 0.7100 0.7100  3 Pd 2.56-2.65, 2 Al 2.78-2.83
Pd1 0.0000 0.2833 0.2833  6 Al 2.57-2.65, 1 Ho 2.82
Pd2 0.5000 0.8663 0.8663  6 Al 2.56-2.60, 1 Sc 2.80

=====

No. 4
Ho2ScAl3Si2Pd: optimized geometry, PBE-GGA.

Results
* ρ: 6.2 Mg/m³
* E: -49.88 eV/cell
* total moment: 0.000 μB per atom
* crystal system: orthorhombic

a = 4.1835 Å, b = 6.7659 Å, c = 6.7659 Å
α = 119.50°, β = 90.00°, γ = 90.00°
Closest atoms and distances in Å follow each position.
Positions (direct):
Ho1 0.0000 0.2091 0.7909  1 Pd 2.88, 4 Si 2.94-2.95, 2 Al 3.11
Ho2 0.0000 0.7909 0.2091  1 Pd 2.88, 4 Si 2.94-2.95, 2 Al 3.11
Sc1 0.0000 0.3707 0.3707  1 Pd 2.78, 4 Si 2.87
Al1 0.5000 0.0296 0.0296  2 Si 2.60, 2 Pd 2.71, 2 Al 2.85
Al2 0.5000 0.5461 0.7858  2 Si 2.60-2.69, 2 Pd 2.63, 2 Al 2.80-2.85
Al3 0.5000 0.7858 0.5461  2 Si 2.60-2.69, 2 Pd 2.63, 2 Al 2.80-2.85
Si1 0.5000 0.1294 0.4524  3 Al 2.60-2.69, 2 Sc 2.87
Si2 0.5000 0.4524 0.1294  3 Al 2.60-2.69, 2 Sc 2.87
Pd1 0.0000 0.7778 0.7778  6 Al 2.63-2.71, 1 Sc 2.78, 2 Ho 2.88

=====

No. 5
Ho3Al3SiPd2: optimized geometry, PBE-GGA.

Results
* ρ: 7.2 Mg/m³
* total moment: 0.002 μB per atom
* crystal system: hexagonal
* energy above the lowest structure with this stoichiometry: 356 meV/atom

a = 7.5162 Å, b = 7.5162 Å, c = 3.8671 Å
α = 90.00°, β = 90.00°, γ = 120.00°
Closest atoms and distances in Å follow each position.
Positions (direct):
Ho1 0.0000 0.2740 0.0000  2 Pd 2.76, 2 Si 2.82
Ho2 0.2740 0.0000 0.0000  2 Pd 2.76, 2 Si 2.82
Ho3 0.7260 0.7260 0.0000  2 Pd 2.76, 2 Si 2.82
Al1 0.0000 0.6005 0.5000  4 Pd 3.00, 1 Si 3.00, 6 Ho 3.12-3.29
Al2 0.3995 0.3995 0.5000  4 Pd 3.00, 1 Si 3.00, 6 Ho 3.12-3.29
Al3 0.6005 0.0000 0.5000  4 Pd 3.00, 1 Si 3.00, 6 Ho 3.12-3.29
Si1 0.0000 0.0000 0.5000  6 Ho 2.82, 3 Al 3.00
Pd1 0.3333 0.6667 0.0000  3 Ho 2.76, 6 Al 3.00
Pd2 0.6667 0.3333 0.0000  3 Ho 2.76, 6 Al 3.00

=====

No. 6
Ho3Al3SiPd2: optimized geometry, PBE-GGA.

Results
* ρ: 7.6 Mg/m³
* total moment: 0.000 μB per atom
* crystal system: hexagonal
* energy above the lowest structure with this stoichiometry: 0 meV/atom

a = 7.3605 Å, b = 7.3605 Å, c = 3.7884 Å
α = 90.00°, β = 90.00°, γ = 120.00°
Closest atoms and distances in Å follow each position.
Positions (direct):
Ho1 0.0000 0.5995 0.0000  4 Pd 2.94, 1 Si 2.95, 6 Al 3.17-3.20
Ho2 0.4005 0.4005 0.0000  4 Pd 2.94, 1 Si 2.95, 6 Al 3.17-3.20
Ho3 0.5995 0.0000 0.0000  4 Pd 2.94, 1 Si 2.95, 6 Al 3.17-3.20
Al1 0.0000 0.2536 0.5000  2 Si 2.66, 2 Pd 2.79
Al2 0.2536 0.0000 0.5000  2 Si 2.66, 2 Pd 2.79
Al3 0.7464 0.7464 0.5000  2 Si 2.66, 2 Pd 2.79
Si1 0.0000 0.0000 0.0000  6 Al 2.66, 3 Ho 2.95
Pd1 0.3333 0.6667 0.5000  3 Al 2.79, 6 Ho 2.94
Pd2 0.6667 0.3333 0.5000  3 Al 2.79, 6 Ho 2.94